DFT (PBE+U) results for a geometry-optimized Gd3MoO7 structure.

Results
The total magnetization comes out at 20.00 μB/f.u. Its raw total energy is -10.59 eV per atom.

Geometry as CIF:
```
data_Gd3MoO7
_chemical_formula_sum 'Gd12 Mo4 O28'
_space_group_name_H-M_alt 'P 21 21 21'
_space_group_IT_number 19
_cell_length_a 7.488
_cell_length_b 7.640
_cell_length_c 10.727
_cell_angle_alpha 90.00
_cell_angle_beta 90.00
_cell_angle_gamma 90.00
loop_
_space_group_symop_operation_xyz
'x,y,z'
'-x+1/2,-y,z+1/2'
'x+1/2,-y+1/2,-z'
'-x,y+1/2,-z+1/2'
loop_
_atom_site_label
_atom_site_type_symbol
_atom_site_fract_x
_atom_site_fract_y
_atom_site_fract_z
Gd1 Gd 0.001 0.039 0.227
Gd2 Gd 0.002 0.036 0.776
Gd3 Gd 0.233 0.201 0.500
Mo1 Mo 0.247 0.252 0.000
O1 O 0.004 0.652 0.500
O2 O 0.009 0.771 0.134
O3 O 0.010 0.764 0.866
O4 O 0.204 0.393 0.858
O5 O 0.208 0.405 0.141
O6 O 0.211 0.947 0.624
O7 O 0.212 0.955 0.375
```